The following is a DFT calculation (PBE) of an optimized crystal structure of Cs2MnCdOs.

Cell and atoms, written as POSCAR:
```
Cs2MnCdOs
1.0
6.9024 0.0000 0.0000
0.0000 4.4177 0.0000
0.0000 0.0000 6.9024
Cs Mn Os Cd
2 1 1 1
Cartesian
0.0000 0.0000 3.4512
3.4512 0.0000 0.0000
0.0000 0.0000 0.0000
0.0000 2.2088 0.0000
3.4512 2.2088 3.4512
```

Calculated values
Space group ... No. 123
Total DFT energy (no corrections) ... -17.44 eV for the cell shown

***

The following is a DFT calculation (PBE) of an optimized crystal structure of CsMnCd2S4.

Cell and atoms, written as POSCAR:
```
CsMnCd2S4
1.0
-1.6751 5.3320 -3.4783
-5.4764 0.6275 3.5987
6.0978 -0.0223 3.2605
Cs Mn Cd S
1 1 2 4
Cartesian
0.0000 0.0003 0.0002
-3.5754 2.9799 0.0605
0.4235 4.1449 -0.0785
-1.4770 1.7928 3.4598
0.4570 3.1880 2.3647
-3.5351 2.9816 2.3472
-2.1296 4.7211 -0.2695
3.1015 0.9843 2.3202
```

Calculated values
E_form (uncorrected) ... -0.590 eV/atom
Space group ... No. 121
Total DFT energy (no corrections) ... -33.08 eV for the cell shown